A plane-wave DFT calculation with PBE was carried out for a relaxed ErZr2As3 crystal.

```
data_ErZr2As3
_chemical_formula_sum 'Er2 Zr4 As6'
_space_group_name_H-M_alt 'I m m m'
_space_group_IT_number 71
_space_group_name_Hall '-I 2 2'
_cell_length_a 3.922
_cell_length_b 5.568
_cell_length_c 11.821
_cell_angle_alpha 90.00
_cell_angle_beta 90.00
_cell_angle_gamma 90.00
loop_
_atom_site_label
_atom_site_fract_x
_atom_site_fract_y
_atom_site_fract_z
Er1 0.000 0.000 0.000
Zr1 0.000 0.000 0.337
As1 0.000 0.500 0.000
As2 0.000 0.500 0.328
```

The energy of formation comes out at -1.228 eV per atom. The calculation puts the density of states at the Fermi level at 5.2 states/eV/cell.

=====

A plane-wave DFT calculation with PBE was carried out for a relaxed Er5ZrAs6 crystal.

```
data_Er5ZrAs6
_chemical_formula_sum 'Er10 Zr2 As12'
_space_group_name_H-M_alt 'C 1 2/m 1'
_space_group_IT_number 12
_cell_length_a 6.995
_cell_length_b 12.106
_cell_length_c 6.996
_cell_angle_alpha 90.00
_cell_angle_beta 109.48
_cell_angle_gamma 90.00
loop_
_space_group_symop_operation_xyz
'x,y,z'
'-x,-y,-z'
'-x,y,-z'
'x,-y,z'
'x+1/2,y+1/2,z'
'-x+1/2,-y+1/2,-z'
'-x+1/2,y+1/2,-z'
'x+1/2,-y+1/2,z'
loop_
_atom_site_label
_atom_site_fract_x
_atom_site_fract_y
_atom_site_fract_z
Er1 0.000 0.000 0.000
Er2 0.000 0.166 0.500
Er3 0.000 0.331 0.000
Zr1 0.000 0.500 0.500
As1 0.244 0.500 0.253
As2 0.245 0.337 0.745
```

The energy of formation comes out at -1.455 eV per atom. The calculation puts the density of states at the Fermi level at 4.8 states/eV/cell.

=====

A plane-wave DFT calculation with PBE was carried out for a relaxed EuAs3 crystal.

```
data_EuAs3
_chemical_formula_sum 'Eu2 As6'
_space_group_name_H-M_alt 'I 4/m m m'
_space_group_IT_number 139
_space_group_name_Hall '-I 4 2'
_cell_length_a 4.136
_cell_length_b 4.136
_cell_length_c 11.656
_cell_angle_alpha 90.00
_cell_angle_beta 90.00
_cell_angle_gamma 90.00
loop_
_atom_site_label
_atom_site_fract_x
_atom_site_fract_y
_atom_site_fract_z
Eu1 0.000 0.000 0.000
As1 0.000 0.000 0.272
As2 0.000 0.000 0.500
```

The energy of formation comes out at -0.369 eV per atom. The calculation puts the density of states at the Fermi level at 8.8 states/eV/cell.

=====

A plane-wave DFT calculation with PBE was carried out for a relaxed EuAs2 crystal.

```
data_EuAs2
_chemical_formula_sum 'Eu2 As4'
_space_group_name_H-M_alt 'C 1 2/m 1'
_space_group_IT_number 12
_cell_length_a 5.980
_cell_length_b 6.044
_cell_length_c 4.643
_cell_angle_alpha 90.00
_cell_angle_beta 114.98
_cell_angle_gamma 90.00
loop_
_space_group_symop_operation_xyz
'x,y,z'
'-x,-y,-z'
'-x,y,-z'
'x,-y,z'
'x+1/2,y+1/2,z'
'-x+1/2,-y+1/2,-z'
'-x+1/2,y+1/2,-z'
'x+1/2,-y+1/2,z'
loop_
_atom_site_label
_atom_site_fract_x
_atom_site_fract_y
_atom_site_fract_z
Eu1 0.000 0.000 0.000
As1 0.095 0.500 0.292
```

The energy of formation comes out at -0.695 eV per atom. The calculation puts the density of states at the Fermi level at 8.3 states/eV/cell.

=====

A plane-wave DFT calculation with PBE was carried out for a relaxed Eu3As crystal.

```
data_Eu3As
_chemical_formula_sum 'Eu6 As2'
_space_group_name_H-M_alt 'I m m m'
_space_group_IT_number 71
_space_group_name_Hall '-I 2 2'
_cell_length_a 3.992
_cell_length_b 5.358
_cell_length_c 12.647
_cell_angle_alpha 90.00
_cell_angle_beta 90.00
_cell_angle_gamma 90.00
loop_
_atom_site_label
_atom_site_fract_x
_atom_site_fract_y
_atom_site_fract_z
Eu1 0.000 0.000 0.000
Eu2 0.000 0.500 0.183
As1 0.000 0.000 0.500
```

The energy above the most stable polymorph in this dataset is 0.0 meV/atom. The energy of formation comes out at -0.589 eV per atom. The calculation puts the density of states at the Fermi level at 5.6 states/eV/cell.

=====

A plane-wave DFT calculation with PBE was carried out for a relaxed EuAs3 crystal.

```
data_EuAs3
_chemical_formula_sum 'Eu4 As12'
_space_group_name_H-M_alt 'C 1 2/m 1'
_space_group_IT_number 12
_cell_length_a 9.426
_cell_length_b 7.617
_cell_length_c 5.746
_cell_angle_alpha 90.00
_cell_angle_beta 112.04
_cell_angle_gamma 90.00
loop_
_space_group_symop_operation_xyz
'x,y,z'
'-x,-y,-z'
'-x,y,-z'
'x,-y,z'
'x+1/2,y+1/2,z'
'-x+1/2,-y+1/2,-z'
'-x+1/2,y+1/2,-z'
'x+1/2,-y+1/2,z'
loop_
_atom_site_label
_atom_site_fract_x
_atom_site_fract_y
_atom_site_fract_z
Eu1 0.166 0.000 0.327
As1 0.011 0.500 0.225
As2 0.138 0.223 0.798
```

The energy of formation comes out at -0.637 eV per atom. The calculation puts the density of states at the Fermi level at 34.2 states/eV/cell.